VASP calculation (PBE-GGA) on a relaxed CeSi2Os4 crystal.

Computed properties:
- ΔE_f (raw): -473 meV/atom
- Distance to the lowest polymorph of the same formula: 0.000 eV per atom
- Theoretical density: 14.013 g/cm3

a = 3.9915 Å, b = 4.0150 Å, c = 7.3570 Å
α = 105.83°, β = 90.00°, γ = 90.00°
Each line ends with the local moment (μB).
Element x y z (fractional)
1 Os 0.0000 0.6891 0.3782  0.04
2 Os 0.0000 0.3109 0.6218  0.04
3 Os 0.5000 0.8135 0.6270  0.02
4 Os 0.5000 0.1865 0.3730  0.02
5 Si 0.5000 0.5850 0.1701  0.00
6 Si 0.5000 0.4150 0.8299  0.00
7 Ce 0.0000 0.0000 0.0000  0.56